No. 1
Density functional theory data (PBE-GGA) for crystalline Ba4MgCd3 at its relaxed geometry.

abc: 12.130 8.549 6.066
angles: 90.00 90.00 90.00
Sites, in units of the cell vectors:
1 Ba 0.000 0.246 0.000
2 Ba 0.000 0.754 0.000
3 Ba 0.250 0.246 0.498
4 Ba 0.250 0.754 0.498
5 Ba 0.500 0.246 0.000
6 Ba 0.500 0.754 0.000
7 Ba 0.750 0.246 0.502
8 Ba 0.750 0.754 0.502
9 Mg 0.000 0.500 0.500
10 Mg 0.500 0.500 0.500
11 Cd 0.000 0.000 0.500
12 Cd 0.250 0.000 0.998
13 Cd 0.250 0.500 0.997
14 Cd 0.500 0.000 0.500
15 Cd 0.750 0.000 0.002
16 Cd 0.750 0.500 0.003

Summary:
E above lowest polymorph = 0.000 eV/atom
Uncorrected energy = -1.76 eV/atom
Energy relative to the elements = -0.2514 eV/atom

---

No. 2
Density functional theory data (PBE-GGA) for crystalline Ba12MgCd6 at its relaxed geometry.

abc: 10.511 10.511 10.511
angles: 109.80 109.80 109.80
Sites, in units of the cell vectors:
1 Ba 0.038 0.139 0.704
2 Ba 0.139 0.704 0.038
3 Ba 0.167 0.370 0.479
4 Ba 0.296 0.962 0.861
5 Ba 0.370 0.479 0.167
6 Ba 0.479 0.167 0.370
7 Ba 0.521 0.833 0.630
8 Ba 0.630 0.521 0.833
9 Ba 0.704 0.038 0.139
10 Ba 0.833 0.630 0.521
11 Ba 0.861 0.296 0.962
12 Ba 0.962 0.861 0.296
13 Mg 0.000 0.000 0.000
14 Cd 0.114 0.631 0.350
15 Cd 0.350 0.114 0.631
16 Cd 0.369 0.650 0.886
17 Cd 0.631 0.350 0.114
18 Cd 0.650 0.886 0.369
19 Cd 0.886 0.369 0.650

Summary:
Uncorrected energy = -1.67 eV/atom
Energy relative to the elements = -0.0871 eV/atom

---

Among the records above, which one has the highest energy relative to the elements? Ba12MgCd6